Record 1
Rb4LiGe3I12 | Alexandria | GGA-PBE | optimized geometry; total DFT energy (no corrections) = -2.729 eV per atom; total magnetic moment = 0.000 μB per formula unit; volume = 821.90 Å³/f.u.; symmetry = Im-3m, No. 229
1.0
10.2207 0.0000 0.0000
-3.4069 9.6362 0.0000
-3.4069 -4.8181 8.3452
Rb Li Ge I
4 1 3 12
direct
0.5000 0.5000 0.5000
0.0000 0.0000 0.5000
0.5000 0.0000 0.0000
0.0000 0.5000 0.0000
0.0000 0.0000 0.0000
0.5000 0.0000 0.5000
0.5000 0.5000 0.0000
0.0000 0.5000 0.5000
0.2500 0.5000 0.7500
0.7474 0.0000 0.7474
0.2526 0.0000 0.2526
0.7500 0.5000 0.2500
0.7474 0.7474 0.0000
0.2526 0.2526 0.0000
0.7500 0.2500 0.5000
0.2500 0.7500 0.5000
0.5000 0.2500 0.7500
0.0000 0.7474 0.7474
0.5000 0.7500 0.2500
0.0000 0.2526 0.2526



Record 2
TiCdGaCu2 | Alexandria | GGA-PBE | optimized geometry; total DFT energy (no corrections) = -3.030 eV per atom; total magnetic moment = 0.000 μB per formula unit; volume = 104.97 Å³/f.u.; symmetry = P4/mmm, No. 123; formation energy = 0.98 eV per atom
1.0
-1.7119 -3.2997 2.8319
3.8247 0.4805 2.8718
-2.2544 3.2760 2.4543
Ti Cu Ga Cd
1 2 1 1
direct
0.5000 0.5000 0.5000
0.0000 0.0000 0.5000
0.5000 0.0000 0.0000
0.0000 0.5000 0.0000
0.0000 0.0000 0.0000



Record 3
CoNi5Ir2 | Alexandria | GGA-PBE | optimized geometry; total DFT energy (no corrections) = -6.676 eV per atom; total magnetic moment = 6.353 μB per formula unit; volume = 95.67 Å³/f.u.; symmetry = Pbam, No. 55; formation energy = 0.04 eV per atom
1.0
3.5971 0.0000 0.0000
0.0000 5.1564 0.0000
0.0000 0.0000 10.3156
Co Ni Ir
2 10 4
direct
0.0000 0.0000 0.5000
0.0000 0.5000 0.0000
0.0000 0.0000 0.0000
0.0000 0.5000 0.5000
0.0000 0.4939 0.7517
0.0000 0.5061 0.2483
0.0000 0.0061 0.2517
0.0000 0.9939 0.7483
0.5000 0.2466 0.8756
0.5000 0.7534 0.1244
0.5000 0.2534 0.3756
0.5000 0.7466 0.6244
0.5000 0.2459 0.6249
0.5000 0.7541 0.3751
0.5000 0.2541 0.1249
0.5000 0.7459 0.8751



Record 4
Sc4IrBr5 | Alexandria | GGA-PBE | optimized geometry; total DFT energy (no corrections) = -5.600 eV per atom; total magnetic moment = 0.756 μB per formula unit; volume = 267.04 Å³/f.u.; symmetry = C2/m, No. 12
1.0
-2.3856 -2.5982 -1.3850
6.3007 -4.7003 -2.0352
-0.6188 -1.4373 8.9461
Sc Ir Br
4 1 5
direct
0.6465 0.0747 0.2931
0.0046 0.2190 0.0091
0.3535 0.9253 0.7069
0.9954 0.7810 0.9909
0.5000 0.0000 0.0000
0.1678 0.3267 0.3356
0.1760 0.8437 0.3521
0.8240 0.1563 0.6479
0.5000 0.5000 0.0000
0.8322 0.6733 0.6644



Record 5
SrCa2IrI | Alexandria | GGA-PBE | optimized geometry; E above lowest polymorph = 0.000 eV per atom; total DFT energy (no corrections) = -3.685 eV per atom; total magnetic moment = 0.000 μB per formula unit; volume = 182.89 Å³/f.u.; symmetry = P4/mmm, No. 123
1.0
-2.3197 2.6589 -4.2784
4.3501 -1.9364 -3.5619
-2.9859 -4.5194 -1.1897
I Sr Ca Ir
1 1 2 1
direct
0.5000 0.5000 0.5000
0.0000 0.5000 0.0000
0.0000 0.0000 0.5000
0.5000 0.0000 0.0000
0.0000 0.0000 0.0000



Record 6
NiTe2I | Alexandria | GGA-PBE | optimized geometry; total DFT energy (no corrections) = -3.417 eV per atom; total magnetic moment = 0.000 μB per formula unit; volume = 115.65 Å³/f.u.; symmetry = P2_1/c, No. 14
1.0
-7.0525 -13.0043 -10.7044
2.6541 -2.8004 1.6535
-1.4830 3.4206 8.1737
I Ni Te
4 4 8
direct
0.6218 0.1277 0.5309
0.3782 0.8723 0.4691
0.8782 0.6277 0.9691
0.1218 0.3723 0.0309
0.2588 0.0457 0.0621
0.7412 0.9543 0.9379
0.2412 0.5457 0.4379
0.7588 0.4543 0.5621
0.8463 0.9587 0.5812
0.1537 0.0413 0.4188
0.6537 0.4587 0.9188
0.3463 0.5413 0.0812
0.1182 0.8379 0.6711
0.8818 0.1621 0.3289
0.3818 0.3379 0.8289
0.6182 0.6621 0.1711



Record 7
YHo3Tm3 | Alexandria | GGA-PBE | optimized geometry; E above lowest polymorph = 0.000 eV per atom; total DFT energy (no corrections) = -4.798 eV per atom; total magnetic moment = 0.001 μB per formula unit; volume = 218.08 Å³/f.u.; symmetry = P6_3/m, No. 176; formation energy = 0.00 eV per atom
1.0
-0.1857 -2.0059 5.2059
-5.3222 -7.2759 -2.9934
9.4691 -0.7469 0.0501
Y Ho Tm
2 6 6
direct
0.2500 0.6667 0.3333
0.7500 0.3333 0.6667
0.2500 0.8078 0.7620
0.2500 0.2380 0.0458
0.2500 0.9542 0.1922
0.7500 0.1922 0.2380
0.7500 0.7620 0.9542
0.7500 0.0458 0.8078
0.7500 0.6188 0.5247
0.7500 0.4753 0.0940
0.7500 0.9060 0.3812
0.2500 0.3812 0.4753
0.2500 0.5247 0.9060
0.2500 0.0940 0.6188



Record 8
Cd2B2Au | Alexandria | GGA-PBE | optimized geometry; E above lowest polymorph = 0.000 eV per atom; total DFT energy (no corrections) = -3.010 eV per atom; total magnetic moment = 0.000 μB per formula unit; volume = 73.14 Å³/f.u.; symmetry = I4/mmm, No. 139; formation energy = 0.68 eV per atom
1.0
-1.7828 -1.0548 -2.0401
-1.1777 -1.7973 1.9584
-7.3481 4.6074 1.9676
B Au Cd
2 1 2
direct
0.7500 0.2500 0.5000
0.2500 0.7500 0.5000
0.0000 0.0000 0.0000
0.3736 0.3736 0.2528
0.6264 0.6264 0.7472